# 1
Density functional theory data (GGA-PBE) for an optimized crystal structure of Dy4CdCu3.

Output
As for the formation energy: -0.2391 eV per atom. The calculation puts the total magnetization at 0.0 μB per cell. As for the total energy: -4.191 eV per atom.

a b c (Å): 3.5319 5.0456 9.9801
angles (deg): 90.00 90.00 90.00
Closest atoms and distances in Å follow each position.
Space group Pmmm (No. 47)
Unique sites:
Dy: 0.0000 0.0000 0.0000 (multiplicity 1)  8 Cu 3.07-3.08
Dy: 0.0000 0.0000 0.5000 (multiplicity 1)  4 Cu 3.04, 4 Cd 3.08
Dy: 0.0000 0.5000 0.2352 (multiplicity 2)  6 Cu 2.94-3.08, 2 Cd 3.18
Cd: 0.5000 0.5000 0.5000 (multiplicity 1)  8 Dy 3.08-3.18
Cu: 0.5000 0.0000 0.2522 (multiplicity 2)  8 Dy 3.04-3.08
Cu: 0.5000 0.5000 0.0000 (multiplicity 1)  8 Dy 2.94-3.08

=====

# 2
Density functional theory data (GGA-PBE) for an optimized crystal structure of Sc2PaI8.

Output
The calculation puts the total magnetization at 5.7 μB per cell. As for the total energy: -4.055 eV per atom.

a b c (Å): 14.4287 9.0537 7.2919
angles (deg): 90.00 109.11 90.00
Closest atoms and distances in Å follow each position.
Space group C2/m (No. 12)
Unique sites:
Sc: 0.2288 0.0000 0.4422 (multiplicity 4)  4 I 2.69-2.97
Pa: 0.0000 0.0000 0.0000 (multiplicity 2)  6 I 3.06-3.14
I: 0.1236 0.2570 0.2529 (multiplicity 8)  1 Sc 2.87, 1 Pa 3.14
I: 0.1309 0.0000 0.7434 (multiplicity 4)  1 Sc 2.97, 1 Pa 3.06
I: 0.1334 0.5000 0.7333 (multiplicity 4)  1 Sc 2.69

=====

# 3
Density functional theory data (GGA-PBE) for an optimized crystal structure of La3HfTl.

Output
As for the formation energy: 0.8534 eV per atom. The calculation puts the total magnetization at 0.0 μB per cell. As for the total energy: -4.567 eV per atom. As for the offset from the most stable computed form: 418 meV/atom.

a b c (Å): 5.9376 5.9376 5.9376
angles (deg): 90.00 90.00 90.00
Closest atoms and distances in Å follow each position.
Space group Pm-3m (No. 221)
Unique sites:
La: 0.0000 0.0000 0.5000 (multiplicity 3)  2 Tl 2.97
Hf: 0.5000 0.5000 0.5000 (multiplicity 1)  12 La 4.20
Tl: 0.0000 0.0000 0.0000 (multiplicity 1)  6 La 2.97

=====

# 4
Density functional theory data (GGA-PBE) for an optimized crystal structure of LaNp4S6.

Output
The calculation puts the total magnetization at 67.8 μB per cell. As for the total energy: -8.937 eV per atom.

a b c (Å): 3.9317 12.9205 19.8160
angles (deg): 90.00 90.00 90.00
Closest atoms and distances in Å follow each position.
Space group Cmcm (No. 63)
Unique sites:
La: 0.0000 0.1576 0.2500 (multiplicity 4)  6 S 2.87-2.97
Np: 0.0000 0.0936 0.6256 (multiplicity 8)  6 S 2.71-2.77
Np: 0.0000 0.3626 0.5407 (multiplicity 8)  6 S 2.75-2.83
S: 0.0000 0.0000 0.0000 (multiplicity 4)  6 Np 2.77
S: 0.0000 0.1803 0.7500 (multiplicity 4)  2 Np 2.71, 2 La 2.87
S: 0.0000 0.2684 0.0885 (multiplicity 8)  5 Np 2.75-2.83
S: 0.0000 0.4564 0.6654 (multiplicity 8)  3 Np 2.75-2.76, 2 La 2.97

=====

# 5
Density functional theory data (GGA-PBE) for an optimized crystal structure of Mg3Ge2Pd2.

Output
As for the formation energy: -0.4182 eV per atom. The calculation puts the total magnetization at 0.0 μB per cell. As for the total energy: -3.905 eV per atom. As for the offset from the most stable computed form: 99 meV/atom.

a b c (Å): 3.1448 4.4019 17.8051
angles (deg): 90.00 90.00 90.00
Closest atoms and distances in Å follow each position.
Space group Immm (No. 71)
Unique sites:
Mg: 0.0000 0.0000 0.0000 (multiplicity 2)  4 Pd 2.93, 8 Ge 2.98, 2 Mg 3.14
Mg: 0.0000 0.5000 0.2047 (multiplicity 4)  5 Pd 2.78-2.95, 2 Ge 2.85
Ge: 0.0000 0.0000 0.4291 (multiplicity 4)  2 Pd 2.51, 1 Ge 2.52
Pd: 0.0000 0.5000 0.3609 (multiplicity 4)  2 Ge 2.51, 1 Mg 2.78

=====

# 6
Density functional theory data (GGA-PBE) for an optimized crystal structure of PrGdHoZr.

Output
As for the formation energy: 0.2047 eV per atom. The calculation puts the total magnetization at 35.0 μB per cell. As for the total energy: -7.792 eV per atom.

a b c (Å): 7.8388 7.8388 7.8388
angles (deg): 90.00 90.00 90.00
Closest atoms and distances in Å follow each position.
Space group F-43m (No. 216)
Unique sites:
Pr: 0.0000 0.0000 0.0000 (multiplicity 4)  4 Zr 3.39, 4 Ho 3.39
Gd: 0.0000 0.0000 0.5000 (multiplicity 4)  4 Zr 3.39, 4 Ho 3.39
Ho: 0.2500 0.2500 0.2500 (multiplicity 4)  4 Gd 3.39, 4 Pr 3.39
Zr: 0.2500 0.2500 0.7500 (multiplicity 4)  4 Gd 3.39, 4 Pr 3.39

=====

Q: total magnetization of number 3 (La3HfTl)?
A: 0.0 μB per cell

=====

Q: Look up the total magnetization of the sixth one.
A: 35.0 μB per cell

=====

Q: Which of these has the highest total magnetization?
A: LaNp4S6